Entry 1:
Material: TeRhIO2
Method: DFT, PBE
State: optimized geometry

Structure (CIF):
```
data_TeRhIO2
_chemical_formula_sum 'Te1 Rh1 I1 O2'
_cell_length_a 4.0034
_cell_length_b 4.0034
_cell_length_c 7.1568
_cell_angle_alpha 90.00
_cell_angle_beta 90.00
_cell_angle_gamma 90.00
_symmetry_space_group_name_H-M 'P 1'
_symmetry_Int_Tables_number 1
loop_
_symmetry_equiv_pos_as_xyz
'x,y,z'
loop_
_atom_site_label
_atom_site_fract_x
_atom_site_fract_y
_atom_site_fract_z
_atom_site_occupancy
Rh1 0.0000 0.0000 0.0000 1
I1 0.0000 0.0000 0.5000 1
O1 0.0000 0.5000 0.0000 1
O2 0.5000 0.0000 0.0000 1
Te1 0.5000 0.5000 0.5000 1
```

magnetization = 0.601 μB per formula unit
excess energy over the best structure of this formula in the dataset = 213 meV/atom



Entry 2:
Material: AgPtPbO4
Method: DFT, PBE
State: optimized geometry

Structure (CIF):
```
data_AgPtPbO4
_chemical_formula_sum 'Ag2 Pt2 Pb2 O8'
_cell_length_a 6.3574
_cell_length_b 6.7424
_cell_length_c 7.1140
_cell_angle_alpha 121.84
_cell_angle_beta 90.00
_cell_angle_gamma 118.13
_symmetry_space_group_name_H-M 'P 1'
_symmetry_Int_Tables_number 1
loop_
_symmetry_equiv_pos_as_xyz
'x,y,z'
loop_
_atom_site_label
_atom_site_fract_x
_atom_site_fract_y
_atom_site_fract_z
_atom_site_occupancy
O1 0.2503 0.5006 0.3136 1
O2 0.3010 0.0710 0.2855 1
O3 0.7497 0.4994 0.6864 1
Ag1 0.1340 0.2680 0.8840 1
Pt1 0.5000 0.5000 0.5000 1
Pb1 0.5000 0.0000 0.0000 1
Pb2 0.5000 0.0000 0.5000 1
Pt2 0.0000 0.5000 0.5000 1
O4 0.2299 0.9290 0.7145 1
O5 0.2503 0.5006 0.6870 1
O6 0.7497 0.4994 0.3130 1
O7 0.7701 0.0710 0.2855 1
O8 0.6990 0.9290 0.7145 1
Ag2 0.8660 0.7320 0.1160 1
```

magnetization = 0.000 μB per formula unit
energy = -5.17 eV/atom



Entry 3:
Material: YTe4
Method: DFT, PBE
State: optimized geometry

Structure (CIF):
```
data_YTe4
_chemical_formula_sum 'Y1 Te4'
_cell_length_a 6.0385
_cell_length_b 6.0385
_cell_length_c 6.0385
_cell_angle_alpha 99.15
_cell_angle_beta 99.15
_cell_angle_gamma 133.01
_symmetry_space_group_name_H-M 'P 1'
_symmetry_Int_Tables_number 1
loop_
_symmetry_equiv_pos_as_xyz
'x,y,z'
loop_
_atom_site_label
_atom_site_fract_x
_atom_site_fract_y
_atom_site_fract_z
_atom_site_occupancy
Y1 0.0000 0.0000 0.0000 1
Te1 0.1833 0.6386 0.8219 1
Te2 0.6386 0.8167 0.4553 1
Te3 0.3614 0.1833 0.5447 1
Te4 0.8167 0.3614 0.1781 1
```

magnetization = 0.000 μB per formula unit
excess energy over the best structure of this formula in the dataset = 0 meV/atom



Entry 4:
Material: ZrNb2In2Te6
Method: DFT, PBE
State: optimized geometry

Structure (CIF):
```
data_ZrNb2In2Te6
_chemical_formula_sum 'Zr1 Nb2 In2 Te6'
_cell_length_a 6.7337
_cell_length_b 6.7337
_cell_length_c 8.7261
_cell_angle_alpha 97.76
_cell_angle_beta 97.76
_cell_angle_gamma 120.85
_symmetry_space_group_name_H-M 'P 1'
_symmetry_Int_Tables_number 1
loop_
_symmetry_equiv_pos_as_xyz
'x,y,z'
loop_
_atom_site_label
_atom_site_fract_x
_atom_site_fract_y
_atom_site_fract_z
_atom_site_occupancy
Te1 0.7093 0.7093 0.6901 1
Nb1 0.3047 0.6953 0.5000 1
Te2 0.5764 0.9078 0.2748 1
Te3 0.0922 0.4236 0.7252 1
In1 0.1469 0.8531 0.0000 1
Nb2 0.6953 0.3047 0.5000 1
Te4 0.4236 0.0922 0.7252 1
Zr1 0.0000 0.0000 0.5000 1
In2 0.8531 0.1469 0.0000 1
Te5 0.9078 0.5764 0.2748 1
Te6 0.2907 0.2907 0.3099 1
```

magnetization = 0.800 μB per formula unit
energy = -5.24 eV/atom



Entry 5:
Material: PaTi3O8
Method: DFT, PBE
State: optimized geometry

Structure (CIF):
```
data_PaTi3O8
_chemical_formula_sum 'Pa1 Ti3 O8'
_cell_length_a 4.0044
_cell_length_b 6.7554
_cell_length_c 6.7141
_cell_angle_alpha 104.63
_cell_angle_beta 107.35
_cell_angle_gamma 90.00
_symmetry_space_group_name_H-M 'P 1'
_symmetry_Int_Tables_number 1
loop_
_symmetry_equiv_pos_as_xyz
'x,y,z'
loop_
_atom_site_label
_atom_site_fract_x
_atom_site_fract_y
_atom_site_fract_z
_atom_site_occupancy
O1 0.4446 0.6280 0.8892 1
Ti1 0.5948 0.6997 0.1895 1
O2 0.3753 0.0196 0.7506 1
O3 0.5584 0.3631 0.1168 1
O4 0.7440 0.6292 0.4879 1
O5 0.8626 0.3085 0.7252 1
Ti2 0.4075 0.2994 0.8150 1
Ti3 0.7022 0.2683 0.4044 1
O6 0.1240 0.7063 0.2479 1
O7 0.6504 0.9952 0.3008 1
O8 0.2392 0.3428 0.4785 1
Pa1 0.2954 0.7095 0.5907 1
```

magnetization = 1.095 μB per formula unit
energy = -9.13 eV/atom



Entry 6:
Material: Ca2Tc2Ge2C
Method: DFT, PBE
State: optimized geometry

Structure (CIF):
```
data_Ca2Tc2Ge2C
_chemical_formula_sum 'Ca2 Tc2 Ge2 C1'
_cell_length_a 4.0562
_cell_length_b 5.9154
_cell_length_c 6.2087
_cell_angle_alpha 73.99
_cell_angle_beta 70.93
_cell_angle_gamma 69.95
_symmetry_space_group_name_H-M 'P 1'
_symmetry_Int_Tables_number 1
loop_
_symmetry_equiv_pos_as_xyz
'x,y,z'
loop_
_atom_site_label
_atom_site_fract_x
_atom_site_fract_y
_atom_site_fract_z
_atom_site_occupancy
Ge1 0.1476 0.3963 0.3084 1
C1 0.0000 0.0000 0.0000 1
Tc1 0.1998 0.6814 0.9190 1
Tc2 0.8002 0.3186 0.0810 1
Ge2 0.8524 0.6037 0.6916 1
Ca1 0.5715 0.1547 0.7022 1
Ca2 0.4285 0.8453 0.2978 1
```

E_form = -0.3917 eV per atom
magnetization = 0.000 μB per formula unit



Question: The highest magnetization belongs to which entry?
Answer: PaTi3O8



Question: Which formula does entry 5 have?
Answer: PaTi3O8



Question: Number 4 is which compound?
Answer: ZrNb2In2Te6